Computed, not measured: a relaxed Sm12Ga3H5 crystal at the GGA-PBE level of DFT.

Output
Magnetic moment, μB per formula unit: 0.00
E_tot, eV/atom: -4.42

a b c (Å): 13.5527 13.5527 13.5527
angles (deg): 109.47 109.47 109.47
Closest atoms and distances in Å follow each position.
Sites, in units of the cell vectors:
Sm 0.4036 0.2892 0.3101  1 H 2.25
H 0.8750 0.6250 0.7500  4 Sm 2.25
Sm 0.4791 0.6899 0.0934  1 H 2.25
Ga 0.2500 0.6250 0.8750  8 Sm 3.08-3.11
Sm 0.5964 0.7108 0.6899  1 H 2.25
Sm 0.1899 0.0964 0.7108  1 H 2.25
H 0.8750 0.2500 0.6250  4 Sm 2.25
Sm 0.9036 0.8101 0.7892  1 H 2.25
Sm 0.6143 0.0209 0.2108  1 H 2.25
H 0.0000 0.5000 0.5000  6 Sm 2.62
Sm 0.0964 0.9066 0.3857  1 H 2.25
Sm 0.9791 0.3857 0.2892  1 H 2.25
Sm 0.8857 0.2892 0.4791  1 H 2.25
H 0.7500 0.1250 0.8750  4 Sm 2.25
H 0.2500 0.8750 0.1250  4 Sm 2.25
H 0.2500 0.3750 0.6250  4 Sm 2.25
H 0.3750 0.1250 0.7500  4 Sm 2.25
Ga 0.1250 0.8750 0.7500  8 Sm 3.08-3.11
Sm 0.4066 0.0209 0.3101  1 H 2.25
Ga 0.1250 0.2500 0.8750  8 Sm 3.08-3.11
Sm 0.7108 0.1143 0.0209  1 H 2.25
Sm 0.3101 0.7892 0.4036  1 H 2.25
Ga 0.3750 0.6250 0.2500  8 Sm 3.08-3.11
Ga 0.6250 0.3750 0.7500  8 Sm 3.08-3.11
H 0.1250 0.7500 0.3750  4 Sm 2.25
Sm 0.1143 0.7108 0.5209  1 H 2.25
Sm 0.1899 0.0934 0.9791  1 H 2.25
H 0.3750 0.2500 0.1250  4 Sm 2.25
Sm 0.8101 0.9066 0.0209  1 H 2.25
Ga 0.7500 0.3750 0.1250  8 Sm 3.08-3.11
H 0.0000 0.5000 0.0000  6 Sm 2.62
Sm 0.2108 0.6899 0.0964  1 H 2.25
Sm 0.0209 0.4066 0.8101  1 H 2.25
Ga 0.8750 0.1250 0.2500  8 Sm 3.08-3.11
Sm 0.4036 0.1143 0.5934  1 H 2.25
Sm 0.9036 0.0934 0.6143  1 H 2.25
H 0.5000 0.0000 0.5000  6 Sm 2.62
Sm 0.2892 0.8857 0.9791  1 H 2.25
Sm 0.8857 0.5964 0.9066  1 H 2.25
Sm 0.9066 0.0964 0.8857  1 H 2.25
Sm 0.7892 0.4791 0.3857  1 H 2.25
Ga 0.7500 0.8750 0.6250  8 Sm 3.08-3.11
Sm 0.6143 0.5934 0.9036  1 H 2.25
Sm 0.9066 0.8101 0.5209  1 H 2.25
Sm 0.5964 0.8857 0.4066  1 H 2.25
Sm 0.3857 0.9791 0.7892  1 H 2.25
Sm 0.6899 0.4791 0.5934  1 H 2.25
Sm 0.0964 0.1899 0.2108  1 H 2.25
Sm 0.2892 0.4036 0.8101  1 H 2.25
H 0.6250 0.7500 0.8750  4 Sm 2.25
Sm 0.5934 0.6143 0.4036  1 H 2.25
Sm 0.8101 0.9036 0.2892  1 H 2.25
Sm 0.5934 0.9791 0.6899  1 H 2.25
Sm 0.0209 0.6143 0.7108  1 H 2.25
Ga 0.8750 0.7500 0.1250  8 Sm 3.08-3.11
Ga 0.2500 0.1250 0.3750  8 Sm 3.08-3.11
Sm 0.7892 0.3101 0.9036  1 H 2.25
Sm 0.4066 0.3857 0.5964  1 H 2.25
Ga 0.3750 0.7500 0.6250  8 Sm 3.08-3.11
Sm 0.0934 0.1899 0.4791  1 H 2.25
H 0.5000 0.5000 0.0000  6 Sm 2.62
H 0.5000 0.0000 0.0000  6 Sm 2.62
Sm 0.0934 0.9036 0.1143  1 H 2.25
Sm 0.1143 0.4036 0.0934  1 H 2.25
Sm 0.4791 0.7892 0.8857  1 H 2.25
Sm 0.9791 0.5934 0.1899  1 H 2.25
Sm 0.6899 0.2108 0.5964  1 H 2.25
H 0.0000 0.0000 0.0000  6 Sm 2.62
H 0.1250 0.3750 0.2500  4 Sm 2.25
H 0.0000 0.0000 0.5000  6 Sm 2.62
H 0.5000 0.5000 0.5000  6 Sm 2.62
H 0.7500 0.6250 0.3750  4 Sm 2.25
H 0.6250 0.8750 0.2500  4 Sm 2.25
Sm 0.5209 0.2108 0.1143  1 H 2.25
Sm 0.3857 0.4066 0.0964  1 H 2.25
Sm 0.5209 0.3101 0.9066  1 H 2.25
Ga 0.6250 0.2500 0.3750  8 Sm 3.08-3.11
Sm 0.3101 0.5209 0.4066  1 H 2.25
Sm 0.2108 0.5209 0.6143  1 H 2.25
Sm 0.7108 0.5964 0.1899  1 H 2.25